[1]
Density functional theory data (PBE) for AlIr3 after structural relaxation.

Cell: 4.650 4.650 2.777 Å, 90.00 90.00 106.98°
Positions (direct):
Al1 0.000 0.000 0.000
Ir1 0.000 0.500 0.500
Ir2 0.500 0.000 0.500
Ir3 0.500 0.500 0.000

ΔE_f = -0.39 eV/atom
DOS at the Fermi energy = 4.7 states/eV/f.u.
crystal system = orthorhombic
density = 17.5 g cm⁻³
energy = -7.97 eV/atom
SG = Cmmm, No. 65

[2]
Density functional theory data (PBE) for LiTcPd2 after structural relaxation.

Cell: 8.963 8.963 8.963 Å, 155.39 155.39 35.08°
Positions (direct):
Li1 0.000 0.000 0.000
Li2 0.750 0.250 0.500
Tc1 0.250 0.750 0.500
Tc2 0.500 0.500 0.000
Pd1 0.121 0.625 0.996
Pd2 0.375 0.371 0.496
Pd3 0.629 0.125 0.004
Pd4 0.875 0.879 0.504

ΔE_f = 0.49 eV/atom
DOS at the Fermi energy = 4.2 states/eV/f.u.
crystal system = tetragonal
density = 8.5 g cm⁻³
energy = -5.18 eV/atom
SG = I-42d, No. 122

[3]
Density functional theory data (PBE) for MgCd2 after structural relaxation.

Cell: 5.270 5.270 5.317 Å, 90.00 90.00 62.35°
Positions (direct):
Mg1 0.188 0.812 0.750
Mg2 0.812 0.188 0.250
Cd1 0.148 0.520 0.250
Cd2 0.480 0.852 0.250
Cd3 0.520 0.148 0.750
Cd4 0.852 0.480 0.750

ΔE_f = -0.07 eV/atom
DOS at the Fermi energy = 0.7 states/eV/f.u.
crystal system = orthorhombic
density = 6.3 g cm⁻³
energy = -1.22 eV/atom
SG = Cmcm, No. 63